[1]
GGA-PBEsol ErBi12O20, optimized geometry; calculated density = 9.64 g/cm3; density of states at the Fermi level = 16.84 states/eV/f.u.; ΔE_f (raw) = -1.355 eV per atom
1.0
-5.0522 5.0522 5.0522
5.0522 -5.0522 5.0522
5.0522 5.0522 -5.0522
Er Bi O
1 12 20
Direct
0.0000 0.0000 0.0000
0.1474 0.8303 0.3212
0.1697 0.3171 0.4909
0.1738 0.6829 0.8526
0.3171 0.4909 0.1697
0.3212 0.1474 0.8303
0.4909 0.1697 0.3171
0.5091 0.8262 0.6788
0.6788 0.5091 0.8262
0.6829 0.8526 0.1738
0.8262 0.6788 0.5091
0.8303 0.3212 0.1474
0.8526 0.1738 0.6829
0.0000 0.0000 0.3317
0.0000 0.0000 0.7539
0.0000 0.3317 0.0000
0.0000 0.7539 0.0000
0.1195 0.3532 0.7398
0.2337 0.8805 0.6203
0.2461 0.2461 0.2461
0.2602 0.6134 0.3797
0.3317 0.0000 0.0000
0.3532 0.7398 0.1195
0.3797 0.2602 0.6134
0.3866 0.6468 0.7663
0.6134 0.3797 0.2602
0.6203 0.2337 0.8805
0.6468 0.7663 0.3866
0.6683 0.6683 0.6683
0.7398 0.1195 0.3532
0.7539 0.0000 0.0000
0.7663 0.3866 0.6468
0.8805 0.6203 0.2337

=====

[2]
GGA-PBEsol ErBiRh, optimized geometry; calculated density = 12.49 g/cm3; density of states at the Fermi level = 1.57 states/eV/f.u.; formation energy from the elements = -759 meV per atom
1.0
7.5207 0.0000 0.0000
-3.7603 6.5131 0.0000
0.0000 0.0000 3.9013
Er Bi Rh
3 3 3
Direct
0.0000 0.3998 0.0000
0.3998 0.0000 0.0000
0.6002 0.6002 0.0000
0.0000 0.7337 0.5000
0.2663 0.2663 0.5000
0.7337 0.0000 0.5000
0.0000 0.0000 0.0000
0.3333 0.6667 0.5000
0.6667 0.3333 0.5000

=====

[3]
GGA-PBEsol EuBi2, optimized geometry; calculated density = 10.48 g/cm3; density of states at the Fermi level = 8.85 states/eV/f.u.; formation energy from the elements = -691 meV per atom
1.0
2.3569 -8.4170 0.0000
2.3569 8.4170 0.0000
0.0000 0.0000 4.5538
Eu Bi
2 4
Direct
0.0991 0.9009 0.7500
0.9009 0.0991 0.2500
0.2534 0.7466 0.2500
0.4334 0.5666 0.7500
0.5666 0.4334 0.2500
0.7466 0.2534 0.7500

=====

[4]
GGA-PBEsol EuBiPd2, optimized geometry; calculated density = 11.54 g/cm3; density of states at the Fermi level = 14.29 states/eV/f.u.; formation energy from the elements = -592 meV per atom
1.0
0.0000 3.4559 3.4559
3.4559 0.0000 3.4559
3.4559 3.4559 0.0000
Eu Bi Pd
1 1 2
Direct
0.0000 0.0000 0.0000
0.5000 0.5000 0.5000
0.2500 0.2500 0.2500
0.7500 0.7500 0.7500

=====

[5]
GGA-PBEsol BiF5, optimized geometry; calculated density = 4.90 g/cm3; density of states at the Fermi level = 0.00 states/eV/f.u.; ΔE to the lowest computed polymorph = 0.003 eV/atom; ΔE_f (raw) = -1.767 eV per atom
1.0
5.2839 0.0000 0.0000
0.0000 10.3101 0.0000
-3.2534 0.0000 7.5629
Bi F
4 20
Direct
0.1231 0.2483 0.4001
0.1231 0.2517 0.9001
0.8769 0.7483 0.0999
0.8769 0.7517 0.5999
0.0905 0.5901 0.2144
0.0905 0.9099 0.7144
0.1204 0.1864 0.6504
0.1204 0.3136 0.1504
0.2274 0.6538 0.6555
0.2274 0.8462 0.1555
0.3377 0.0970 0.0242
0.3377 0.4030 0.5242
0.4705 0.1491 0.4502
0.4705 0.3509 0.9502
0.5295 0.6491 0.0498
0.5295 0.8509 0.5498
0.6623 0.5970 0.4758
0.6623 0.9030 0.9758
0.7726 0.1538 0.8445
0.7726 0.3462 0.3445
0.8796 0.6864 0.8496
0.8796 0.8136 0.3496
0.9095 0.0901 0.2856
0.9095 0.4099 0.7856

=====

[6]
GGA-PBEsol BiF5, optimized geometry; calculated density = 5.37 g/cm3; density of states at the Fermi level = 0.00 states/eV/f.u.; ΔE to the lowest computed polymorph = 0.000 eV/atom; ΔE_f (raw) = -1.770 eV per atom
1.0
-3.3054 3.3054 2.1520
3.3054 -3.3054 2.1520
3.3054 3.3054 -2.1520
Bi F
1 5
Direct
0.0000 0.0000 0.0000
0.0959 0.7138 0.8097
0.2862 0.0959 0.3821
0.5000 0.5000 0.0000
0.7138 0.9041 0.6179
0.9041 0.2862 0.1903

=====

[7]
GGA-PBEsol BiF5, optimized geometry; calculated density = 5.30 g/cm3; density of states at the Fermi level = 0.00 states/eV/f.u.; ΔE to the lowest computed polymorph = 0.001 eV/atom; ΔE_f (raw) = -1.769 eV per atom
1.0
4.9681 -2.6152 0.0000
4.9681 2.6152 0.0000
-3.3430 0.0000 7.3318
Bi F
2 10
Direct
0.0000 0.0000 0.0000
0.0000 0.0000 0.5000
0.0491 0.3501 0.6413
0.1514 0.8486 0.7500
0.2244 0.5888 0.0410
0.3501 0.0491 0.1413
0.4112 0.7756 0.4590
0.5888 0.2244 0.5410
0.6499 0.9509 0.8587
0.7756 0.4112 0.9590
0.8486 0.1514 0.2500
0.9509 0.6499 0.3587

=====

[8]
GGA-PBEsol BiF3, optimized geometry; calculated density = 8.39 g/cm3; density of states at the Fermi level = 0.00 states/eV/f.u.; ΔE_f (raw) = -2.484 eV per atom
1.0
6.7159 0.0000 0.0000
0.0000 7.1467 0.0000
0.0000 0.0000 4.3886
Bi F
4 12
Direct
0.1298 0.2500 0.0680
0.3702 0.7500 0.5680
0.6298 0.2500 0.4320
0.8702 0.7500 0.9320
0.0154 0.7500 0.4297
0.1636 0.5671 0.8971
0.1636 0.9329 0.8971
0.3364 0.0671 0.3971
0.3364 0.4329 0.3971
0.4846 0.2500 0.9297
0.5154 0.7500 0.0703
0.6636 0.5671 0.6029
0.6636 0.9329 0.6029
0.8364 0.0671 0.1029
0.8364 0.4329 0.1029
0.9846 0.2500 0.5703